Model one:
Density functional theory data (PBE-GGA) for a relaxed structure of EuTm3.

```
data_EuTm3
_chemical_formula_sum 'Eu1 Tm3'
_space_group_name_H-M_alt 'P 1'
_space_group_IT_number 1
_cell_length_a 3.583
_cell_length_b 5.735
_cell_length_c 6.269
_cell_angle_alpha 90.00
_cell_angle_beta 90.00
_cell_angle_gamma 90.00
loop_
_space_group_symop_operation_xyz
'x,y,z'
loop_
_atom_site_label
_atom_site_type_symbol
_atom_site_fract_x
_atom_site_fract_y
_atom_site_fract_z
Eu1 Eu 0.000 0.500 0.333
Tm1 Tm 0.500 0.000 0.509
Tm2 Tm 0.000 0.000 0.994
Tm3 Tm 0.500 0.500 0.831
```

magnetization: 2.0964 μB per atom


Model two:
Density functional theory data (PBE-GGA) for a relaxed structure of EuTm3.

```
data_EuTm3
_chemical_formula_sum 'Eu1 Tm3'
_space_group_name_H-M_alt 'P 1'
_space_group_IT_number 1
_cell_length_a 5.024
_cell_length_b 5.024
_cell_length_c 5.024
_cell_angle_alpha 90.00
_cell_angle_beta 90.00
_cell_angle_gamma 90.00
loop_
_space_group_symop_operation_xyz
'x,y,z'
loop_
_atom_site_label
_atom_site_type_symbol
_atom_site_fract_x
_atom_site_fract_y
_atom_site_fract_z
Eu1 Eu 0.000 0.000 0.000
Tm1 Tm 0.000 0.500 0.500
Tm2 Tm 0.500 0.000 0.500
Tm3 Tm 0.500 0.500 0.000
```

magnetization: 1.7999 μB per atom


Order from most stable to least stable according to the calculation: model one, model two


Model one:
Density functional theory data (PBE-GGA) for a relaxed structure of Eu2Tm.

```
data_Eu2Tm
_chemical_formula_sum 'Eu4 Tm2'
_space_group_name_H-M_alt 'P 1'
_space_group_IT_number 1
_cell_length_a 6.815
_cell_length_b 6.815
_cell_length_c 6.815
_cell_angle_alpha 60.00
_cell_angle_beta 60.00
_cell_angle_gamma 60.00
loop_
_space_group_symop_operation_xyz
'x,y,z'
loop_
_atom_site_label
_atom_site_type_symbol
_atom_site_fract_x
_atom_site_fract_y
_atom_site_fract_z
Eu1 Eu 0.625 0.125 0.625
Eu2 Eu 0.625 0.625 0.625
Eu3 Eu 0.125 0.625 0.625
Eu4 Eu 0.625 0.625 0.125
Tm1 Tm 0.250 0.250 0.250
Tm2 Tm 0.000 0.000 0.000
```

magnetization: 5.1188 μB per atom


Model two:
Density functional theory data (PBE-GGA) for a relaxed structure of Eu2Tm.

```
data_Eu2Tm
_chemical_formula_sum 'Eu2 Tm1'
_space_group_name_H-M_alt 'P 1'
_space_group_IT_number 1
_cell_length_a 3.710
_cell_length_b 3.710
_cell_length_c 8.463
_cell_angle_alpha 102.66
_cell_angle_beta 102.66
_cell_angle_gamma 90.00
loop_
_space_group_symop_operation_xyz
'x,y,z'
loop_
_atom_site_label
_atom_site_type_symbol
_atom_site_fract_x
_atom_site_fract_y
_atom_site_fract_z
Eu1 Eu 0.660 0.660 0.321
Eu2 Eu 0.340 0.340 0.679
Tm1 Tm 0.000 0.000 0.000
```

magnetization: 5.1027 μB per atom


Order from most stable to least stable according to the calculation: model two, model one


Model one:
Density functional theory data (PBE-GGA) for a relaxed structure of EuYTm2.

```
data_EuYTm2
_chemical_formula_sum 'Eu1 Y1 Tm2'
_space_group_name_H-M_alt 'P 1'
_space_group_IT_number 1
_cell_length_a 3.578
_cell_length_b 3.578
_cell_length_c 10.257
_cell_angle_alpha 90.00
_cell_angle_beta 90.00
_cell_angle_gamma 90.00
loop_
_space_group_symop_operation_xyz
'x,y,z'
loop_
_atom_site_label
_atom_site_type_symbol
_atom_site_fract_x
_atom_site_fract_y
_atom_site_fract_z
Tm1 Tm 0.000 0.000 0.236
Tm2 Tm 0.000 0.000 0.764
Eu1 Eu 0.500 0.500 0.500
Y1 Y 0.500 0.500 0.000
```

magnetization: 1.8975 μB per atom


Model two:
Density functional theory data (PBE-GGA) for a relaxed structure of EuYTm2.

```
data_EuYTm2
_chemical_formula_sum 'Eu1 Y1 Tm2'
_space_group_name_H-M_alt 'P 1'
_space_group_IT_number 1
_cell_length_a 5.702
_cell_length_b 5.702
_cell_length_c 5.702
_cell_angle_alpha 60.00
_cell_angle_beta 60.00
_cell_angle_gamma 60.00
loop_
_space_group_symop_operation_xyz
'x,y,z'
loop_
_atom_site_label
_atom_site_type_symbol
_atom_site_fract_x
_atom_site_fract_y
_atom_site_fract_z
Tm1 Tm 0.750 0.750 0.750
Tm2 Tm 0.250 0.250 0.250
Y1 Y 0.000 0.000 0.000
Eu1 Eu 0.500 0.500 0.500
```

magnetization: 1.9270 μB per atom


Model three:
Density functional theory data (PBE-GGA) for a relaxed structure of EuYTm2.

```
data_EuYTm2
_chemical_formula_sum 'Eu1 Y1 Tm2'
_space_group_name_H-M_alt 'P 1'
_space_group_IT_number 1
_cell_length_a 5.053
_cell_length_b 5.062
_cell_length_c 5.062
_cell_angle_alpha 90.00
_cell_angle_beta 90.00
_cell_angle_gamma 90.00
loop_
_space_group_symop_operation_xyz
'x,y,z'
loop_
_atom_site_label
_atom_site_type_symbol
_atom_site_fract_x
_atom_site_fract_y
_atom_site_fract_z
Eu1 Eu 0.500 0.500 0.500
Tm1 Tm 0.000 0.500 0.000
Tm2 Tm 0.000 0.000 0.500
Y1 Y 0.500 0.000 0.000
```

magnetization: 1.8014 μB per atom


Order from most stable to least stable according to the calculation: model one, model three, model two


Model one:
Density functional theory data (PBE-GGA) for a relaxed structure of Eu2YTm.

```
data_Eu2YTm
_chemical_formula_sum 'Eu2 Y1 Tm1'
_space_group_name_H-M_alt 'P 1'
_space_group_IT_number 1
_cell_length_a 5.829
_cell_length_b 5.829
_cell_length_c 5.829
_cell_angle_alpha 60.00
_cell_angle_beta 60.00
_cell_angle_gamma 60.00
loop_
_space_group_symop_operation_xyz
'x,y,z'
loop_
_atom_site_label
_atom_site_type_symbol
_atom_site_fract_x
_atom_site_fract_y
_atom_site_fract_z
Tm1 Tm 0.000 0.000 0.000
Eu1 Eu 0.750 0.750 0.750
Eu2 Eu 0.250 0.250 0.250
Y1 Y 0.500 0.500 0.500
```

magnetization: 3.6336 μB per atom


Model two:
Density functional theory data (PBE-GGA) for a relaxed structure of Eu2YTm.

```
data_Eu2YTm
_chemical_formula_sum 'Eu2 Y1 Tm1'
_space_group_name_H-M_alt 'P 1'
_space_group_IT_number 1
_cell_length_a 3.573
_cell_length_b 3.573
_cell_length_c 13.010
_cell_angle_alpha 82.11
_cell_angle_beta 82.11
_cell_angle_gamma 60.00
loop_
_space_group_symop_operation_xyz
'x,y,z'
loop_
_atom_site_label
_atom_site_type_symbol
_atom_site_fract_x
_atom_site_fract_y
_atom_site_fract_z
Tm1 Tm 0.500 0.500 0.500
Y1 Y 0.000 0.000 0.000
Eu1 Eu 0.088 0.088 0.735
Eu2 Eu 0.912 0.912 0.265
```

magnetization: 3.9249 μB per atom


Model three:
Density functional theory data (PBE-GGA) for a relaxed structure of Eu2YTm.

```
data_Eu2YTm
_chemical_formula_sum 'Eu2 Y1 Tm1'
_space_group_name_H-M_alt 'P 1'
_space_group_IT_number 1
_cell_length_a 5.267
_cell_length_b 5.161
_cell_length_c 5.161
_cell_angle_alpha 90.00
_cell_angle_beta 90.00
_cell_angle_gamma 90.00
loop_
_space_group_symop_operation_xyz
'x,y,z'
loop_
_atom_site_label
_atom_site_type_symbol
_atom_site_fract_x
_atom_site_fract_y
_atom_site_fract_z
Eu1 Eu 0.000 0.500 0.000
Eu2 Eu 0.000 0.000 0.500
Y1 Y 0.500 0.000 0.000
Tm1 Tm 0.500 0.500 0.500
```

magnetization: 3.8627 μB per atom


Order from most stable to least stable according to the calculation: model three, model one, model two